A plane-wave DFT calculation with PBE was carried out for an optimized crystal structure of BaCaLaBiO6.

a b c (Å): 8.8595 8.8595 8.8595
angles (deg): 90.00 90.00 90.00
Closest atoms and distances in Å follow each position.
Space group F-43m (No. 216)
Symmetry-distinct sites (fractional):
Ba (0.0000, 0.0000, 0.0000) (multiplicity 4)  12 O 3.13
Ca (0.0000, 0.0000, 0.5000) (multiplicity 4)  12 O 3.13
La (0.2500, 0.2500, 0.7500) (multiplicity 4)  6 O 2.31
Bi (0.2500, 0.2500, 0.2500) (multiplicity 4)  6 O 2.11
O (0.0113, 0.2500, 0.2500) (multiplicity 24)  1 Bi 2.11, 1 La 2.31

Results
- formation energy from raw total energies (kJ/mol of formula units) = -2127.6
- theoretical density (g cm⁻³) = 5.93
- density of states at the Fermi level (states/eV per cell) = 0.0
- offset from the most stable computed form (eV/atom) = 0.1450
- electronic total energy (Ry per atom) = -0.4743